Material: Li2SnOsO6
Method: DFT, GGA-PBE
State: optimized geometry

It has space group P4mm (No. 99), with a = 5.694 Å, b = 5.694 Å, c = 3.895 Å, α = 90.00°, β = 90.00° and γ = 90.00°. The inequivalent atoms are Li at (0.000, 0.500, 0.000), Sn at (0.000, 0.000, 0.791), Os at (0.500, 0.500, 0.798), O at (0.000, 0.000, 0.297), O at (0.261, 0.261, 0.843) and O at (0.500, 0.500, 0.329).

Its crystal system is tetragonal. The formation energy (no corrections) comes out at -126 kJ/mol of atoms. For the density of states at the Fermi level, the calculation gives 2.15 states/eV/cell.